# 1
## PuIn6S8 (PBE-GGA)

Data for a geometry-optimized PuIn6S8 structure.

a = 7.2661 Å, b = 7.2661 Å, c = 7.2661 Å
α = 90.26°, β = 90.26°, γ = 90.26°
Fractional coordinates of all 15 atoms:
Pu: 0.0000 0.0000 0.0000
In: 0.1175 0.3825 0.6102
In: 0.3825 0.6102 0.1175
In: 0.3898 0.8825 0.6175
In: 0.6102 0.1175 0.3825
In: 0.6175 0.3898 0.8825
In: 0.8825 0.6175 0.3898
S: 0.1680 0.6956 0.8264
S: 0.1736 0.8320 0.3044
S: 0.3044 0.1736 0.8320
S: 0.3254 0.3254 0.3254
S: 0.6746 0.6746 0.6746
S: 0.6956 0.8264 0.1680
S: 0.8264 0.1680 0.6956
S: 0.8320 0.3044 0.1736

Summary:
The calculation puts the calculated density at 5149 kg/m3. The value obtained for the calculated total energy is -4.7959 eV/atom. The value obtained for the uncorrected formation energy is -544 meV/atom.

---

# 2
## NaLiNb2 (PBE-GGA)

Data for a geometry-optimized NaLiNb2 structure.

a = 4.6478 Å, b = 4.6478 Å, c = 4.6478 Å
α = 60.00°, β = 60.00°, γ = 60.00°
Fractional coordinates of all 4 atoms:
Na: 0.0000 0.0000 0.0000
Li: 0.5000 0.5000 0.5000
Nb: 0.2500 0.2500 0.2500
Nb: 0.7500 0.7500 0.7500

Summary:
The calculation puts the calculated density at 5046 kg/m3. The value obtained for the calculated total energy is -4.7348 eV/atom. The polymorph energy (0 for the lowest one) comes out at 0.374 eV/atom.

---

# 3
## Pm4Pr4Sm3 (PBE-GGA)

Data for a geometry-optimized Pm4Pr4Sm3 structure.

a = 12.2615 Å, b = 12.2615 Å, c = 12.2615 Å
α = 162.81°, β = 133.53°, γ = 49.91°
Fractional coordinates of all 11 atoms:
Pm: 0.1854 0.0000 0.1854
Pm: 0.2388 0.2388 0.0000
Pm: 0.7612 0.7612 0.0000
Pm: 0.8146 0.0000 0.8146
Pr: 0.1791 0.8550 0.3240
Pr: 0.4690 0.1450 0.3240
Pr: 0.5310 0.8550 0.6760
Pr: 0.8209 0.1450 0.6760
Sm: 0.1069 0.6069 0.5000
Sm: 0.5000 0.5000 0.0000
Sm: 0.8931 0.3931 0.5000

Summary:
The calculation puts the calculated density at 6717 kg/m3. The value obtained for the calculated total energy is -4.6267 eV/atom. The polymorph energy (0 for the lowest one) comes out at 0.000 eV/atom.

---

# 4
## PmSm5Y5 (PBE-GGA)

Data for a geometry-optimized PmSm5Y5 structure.

a = 9.9003 Å, b = 9.9003 Å, c = 7.0089 Å
α = 108.79°, β = 108.79°, γ = 35.47°
Fractional coordinates of all 11 atoms:
Pm: 0.0000 0.0000 0.0000
Sm: 0.0000 0.0000 0.5000
Sm: 0.3295 0.3295 0.8191
Sm: 0.3750 0.3750 0.3637
Sm: 0.6250 0.6250 0.6363
Sm: 0.6705 0.6705 0.1809
Y: 0.1766 0.1766 0.9276
Y: 0.1790 0.1790 0.4222
Y: 0.5000 0.5000 0.0000
Y: 0.8210 0.8210 0.5778
Y: 0.8234 0.8234 0.0724

Summary:
The calculation puts the calculated density at 5937 kg/m3. The value obtained for the calculated total energy is -5.2511 eV/atom. The polymorph energy (0 for the lowest one) comes out at 0.122 eV/atom.

---

# 5
## GeTe8Au2 (PBE-GGA)

Data for a geometry-optimized GeTe8Au2 structure.

a = 6.9100 Å, b = 6.9100 Å, c = 8.2092 Å
α = 107.14°, β = 107.14°, γ = 66.23°
Fractional coordinates of all 11 atoms:
Ge: 0.0000 0.0000 0.0000
Te: 0.1390 0.6209 0.1483
Te: 0.1917 0.1917 0.3353
Te: 0.3791 0.8610 0.8517
Te: 0.4081 0.4081 0.7002
Te: 0.5919 0.5919 0.2998
Te: 0.6209 0.1390 0.1483
Te: 0.8083 0.8083 0.6647
Te: 0.8610 0.3791 0.8517
Au: 0.1254 0.1254 0.6160
Au: 0.8746 0.8746 0.3840

Summary:
The calculation puts the calculated density at 7356 kg/m3. The value obtained for the calculated total energy is -3.1894 eV/atom. The value obtained for the uncorrected formation energy is 111 meV/atom.

---

# 6
## NdTm3Co (PBE-GGA)

Data for a geometry-optimized NdTm3Co structure.

a = 5.2331 Å, b = 5.2331 Å, c = 5.2331 Å
α = 90.00°, β = 90.00°, γ = 90.00°
Fractional coordinates of all 5 atoms:
Nd: 0.0000 0.0000 0.0000
Tm: 0.0000 0.5000 0.5000
Tm: 0.5000 0.0000 0.5000
Tm: 0.5000 0.5000 0.0000
Co: 0.5000 0.5000 0.5000

Summary:
The calculation puts the calculated density at 8227 kg/m3. The value obtained for the calculated total energy is -5.1224 eV/atom. The polymorph energy (0 for the lowest one) comes out at 0.049 eV/atom.

---

# 7
## AcNd7Tl4 (PBE-GGA)

Data for a geometry-optimized AcNd7Tl4 structure.

a = 7.9955 Å, b = 7.9955 Å, c = 10.7336 Å
α = 120.42°, β = 120.42°, γ = 44.67°
Fractional coordinates of all 12 atoms:
Ac: 0.0000 0.0000 0.0000
Nd: 0.0595 0.0595 0.3927
Nd: 0.2057 0.2057 0.8814
Nd: 0.2797 0.2797 0.3462
Nd: 0.5000 0.5000 0.0000
Nd: 0.7203 0.7203 0.6538
Nd: 0.7943 0.7943 0.1186
Nd: 0.9405 0.9405 0.6073
Tl: 0.3103 0.3103 0.6673
Tl: 0.4433 0.4433 0.2527
Tl: 0.5567 0.5567 0.7473
Tl: 0.6897 0.6897 0.3327

Summary:
The calculation puts the calculated density at 8449 kg/m3. The value obtained for the calculated total energy is -3.9626 eV/atom.

---

# 8
## NaHoTe4Pb2 (PBE-GGA)

Data for a geometry-optimized NaHoTe4Pb2 structure.

a = 7.8653 Å, b = 4.5299 Å, c = 7.8876 Å
α = 90.00°, β = 108.65°, γ = 90.00°
Fractional coordinates of all 8 atoms:
Na: 0.0000 0.0000 0.0000
Ho: 0.5000 0.5000 0.0000
Te: 0.2573 0.5000 0.2387
Te: 0.2629 0.0000 0.7663
Te: 0.7371 0.0000 0.2337
Te: 0.7427 0.5000 0.7613
Pb: 0.0000 0.5000 0.5000
Pb: 0.5000 0.0000 0.5000

Summary:
The calculation puts the calculated density at 6939 kg/m3. The value obtained for the calculated total energy is -4.0421 eV/atom. The value obtained for the uncorrected formation energy is -807 meV/atom.

---

# 9
## La2SbAs3Pd4 (PBE-GGA)

Data for a geometry-optimized La2SbAs3Pd4 structure.

a = 4.4542 Å, b = 4.4542 Å, c = 10.4986 Å
α = 90.00°, β = 90.00°, γ = 90.00°
Fractional coordinates of all 10 atoms:
La: 0.0000 0.5000 0.2347
La: 0.5000 0.0000 0.7653
Sb: 0.0000 0.0000 0.5000
As: 0.0000 0.5000 0.8725
As: 0.5000 0.0000 0.1275
As: 0.5000 0.5000 0.5000
Pd: 0.0000 0.0000 0.0000
Pd: 0.0000 0.5000 0.6368
Pd: 0.5000 0.0000 0.3632
Pd: 0.5000 0.5000 0.0000

Summary:
The calculation puts the calculated density at 8371 kg/m3. The value obtained for the calculated total energy is -5.7755 eV/atom. The value obtained for the uncorrected formation energy is -906 meV/atom.

---

# 10
## Tb3Sm2Y4 (PBE-GGA)

Data for a geometry-optimized Tb3Sm2Y4 structure.

a = 9.1339 Å, b = 9.1339 Å, c = 9.6674 Å
α = 104.02°, β = 104.02°, γ = 22.32°
Fractional coordinates of all 9 atoms:
Tb: 0.0000 0.0000 0.0000
Tb: 0.1702 0.1702 0.8996
Tb: 0.8298 0.8298 0.1004
Sm: 0.3407 0.3407 0.7904
Sm: 0.6593 0.6593 0.2096
Y: 0.1543 0.1543 0.5277
Y: 0.4875 0.4875 0.3208
Y: 0.5125 0.5125 0.6792
Y: 0.8457 0.8457 0.4723

Summary:
The calculation puts the calculated density at 6340 kg/m3. The value obtained for the calculated total energy is -5.3829 eV/atom. The polymorph energy (0 for the lowest one) comes out at 0.000 eV/atom.

---

# 11
## Sr2H6IrAu (PBE-GGA)

Data for a geometry-optimized Sr2H6IrAu structure.

a = 5.5952 Å, b = 5.5952 Å, c = 5.5952 Å
α = 119.91°, β = 119.91°, γ = 90.16°
Fractional coordinates of all 10 atoms:
Sr: 0.2500 0.7500 0.5000
Sr: 0.7500 0.2500 0.5000
H: 0.2159 0.2159 0.4319
H: 0.2159 0.7841 0.0000
H: 0.2169 0.2169 0.0000
H: 0.7831 0.7831 0.0000
H: 0.7841 0.2159 0.0000
H: 0.7841 0.7841 0.5681
Ir: 0.0000 0.0000 0.0000
Au: 0.5000 0.5000 0.0000

Summary:
The calculation puts the calculated density at 7637 kg/m3. The value obtained for the calculated total energy is -4.0946 eV/atom.

---

# 12
## TlPtAu2 (PBE-GGA)

Data for a geometry-optimized TlPtAu2 structure.

a = 5.5157 Å, b = 5.5157 Å, c = 5.5157 Å
α = 137.37°, β = 137.37°, γ = 61.88°
Fractional coordinates of all 4 atoms:
Tl: 0.0000 0.0000 0.0000
Pt: 0.5000 0.5000 0.0000
Au: 0.2500 0.7500 0.5000
Au: 0.7500 0.2500 0.5000

Summary:
The calculation puts the calculated density at 17316 kg/m3. The value obtained for the calculated total energy is -3.6588 eV/atom. The polymorph energy (0 for the lowest one) comes out at 0.005 eV/atom.

---

# 13
## CsV3Co (PBE-GGA)

Data for a geometry-optimized CsV3Co structure.

a = 4.7575 Å, b = 4.7575 Å, c = 4.7575 Å
α = 90.00°, β = 90.00°, γ = 90.00°
Fractional coordinates of all 5 atoms:
Cs: 0.0000 0.0000 0.0000
V: 0.0000 0.5000 0.5000
V: 0.5000 0.0000 0.5000
V: 0.5000 0.5000 0.0000
Co: 0.5000 0.5000 0.5000

Summary:
The calculation puts the calculated density at 5315 kg/m3. The value obtained for the calculated total energy is -5.7821 eV/atom. The polymorph energy (0 for the lowest one) comes out at 0.000 eV/atom.

---

# 14
## In2SClF (PBE-GGA)

Data for a geometry-optimized In2SClF structure.

a = 5.4735 Å, b = 5.4735 Å, c = 4.3012 Å
α = 90.00°, β = 90.00°, γ = 90.00°
Fractional coordinates of all 5 atoms:
In: 0.0000 0.5000 0.0000
In: 0.5000 0.0000 0.0000
S: 0.0000 0.0000 0.5000
Cl: 0.5000 0.5000 0.0000
F: 0.5000 0.5000 0.5000

Summary:
The calculation puts the calculated density at 4074 kg/m3. The value obtained for the calculated total energy is -2.8372 eV/atom. The value obtained for the uncorrected formation energy is -173 meV/atom.

---

# 15
## K2TcPbCl8 (PBE-GGA)

Data for a geometry-optimized K2TcPbCl8 structure.

a = 6.5427 Å, b = 8.5433 Å, c = 7.0809 Å
α = 90.00°, β = 91.89°, γ = 90.00°
Fractional coordinates of all 12 atoms:
K: 0.0000 0.2396 0.0000
K: 0.0000 0.7604 0.0000
Tc: 0.5000 0.0000 0.5000
Pb: 0.5000 0.5000 0.5000
Cl: 0.2429 0.5000 0.1817
Cl: 0.2849 0.2008 0.6202
Cl: 0.2849 0.7992 0.6202
Cl: 0.3067 0.0000 0.2116
Cl: 0.6933 0.0000 0.7884
Cl: 0.7151 0.2008 0.3798
Cl: 0.7151 0.7992 0.3798
Cl: 0.7571 0.5000 0.8183

Summary:
The calculation puts the calculated density at 2800 kg/m3. The value obtained for the calculated total energy is -3.8009 eV/atom. The value obtained for the uncorrected formation energy is -1214 meV/atom.

---

# 16
## SiB2PC (PBE-GGA)

Data for a geometry-optimized SiB2PC structure.

a = 2.9980 Å, b = 4.1196 Å, c = 5.0200 Å
α = 103.59°, β = 101.64°, γ = 97.94°
Fractional coordinates of all 5 atoms:
Si: 0.0000 0.0000 0.0000
B: 0.0711 0.4196 0.3396
B: 0.5572 0.5511 0.2463
P: 0.2134 0.3239 0.7009
C: 0.4442 0.7139 0.9839

Summary:
The calculation puts the calculated density at 2659 kg/m3. The value obtained for the calculated total energy is -6.3755 eV/atom. The polymorph energy (0 for the lowest one) comes out at 0.195 eV/atom. The value obtained for the uncorrected formation energy is 307 meV/atom.

---

# 17
## CsLaC2Cl (PBE-GGA)

Data for a geometry-optimized CsLaC2Cl structure.

a = 4.6380 Å, b = 4.6380 Å, c = 5.7268 Å
α = 90.00°, β = 90.00°, γ = 90.00°
Fractional coordinates of all 5 atoms:
Cs: 0.0000 0.0000 0.0000
La: 0.5000 0.5000 0.5000
C: 0.0000 0.5000 0.0000
C: 0.5000 0.0000 0.0000
Cl: 0.0000 0.0000 0.5000

Summary:
The calculation puts the calculated density at 4466 kg/m3. The value obtained for the calculated total energy is -3.3821 eV/atom. The value obtained for the uncorrected formation energy is 1833 meV/atom.

---

# 18
## Hf4CoOs2 (PBE-GGA)

Data for a geometry-optimized Hf4CoOs2 structure.

a = 7.8230 Å, b = 7.8230 Å, c = 7.8230 Å
α = 33.67°, β = 33.67°, γ = 33.67°
Fractional coordinates of all 7 atoms:
Hf: 0.1229 0.1229 0.1229
Hf: 0.3730 0.3730 0.3730
Hf: 0.6270 0.6270 0.6270
Hf: 0.8771 0.8771 0.8771
Co: 0.5000 0.5000 0.5000
Os: 0.2486 0.2486 0.2486
Os: 0.7514 0.7514 0.7514

Summary:
The calculation puts the calculated density at 14610 kg/m3. The value obtained for the calculated total energy is -10.4041 eV/atom.

---

# 19
## Zn2Ge2Te (PBE-GGA)

Data for a geometry-optimized Zn2Ge2Te structure.

a = 8.1018 Å, b = 8.1018 Å, c = 3.0799 Å
α = 90.00°, β = 90.00°, γ = 90.00°
Fractional coordinates of all 10 atoms:
Zn: 0.1730 0.3270 0.0000
Zn: 0.3270 0.8270 0.0000
Zn: 0.6730 0.1730 0.0000
Zn: 0.8270 0.6730 0.0000
Ge: 0.1174 0.6174 0.5000
Ge: 0.3826 0.1174 0.5000
Ge: 0.6174 0.8826 0.5000
Ge: 0.8826 0.3826 0.5000
Te: 0.0000 0.0000 0.0000
Te: 0.5000 0.5000 0.0000

Summary:
The calculation puts the calculated density at 6632 kg/m3. The value obtained for the calculated total energy is -2.7886 eV/atom. The polymorph energy (0 for the lowest one) comes out at 0.006 eV/atom. The value obtained for the uncorrected formation energy is 196 meV/atom.

---

# 20
## LiErTe2 (PBE-GGA)

Data for a geometry-optimized LiErTe2 structure.

a = 7.7710 Å, b = 7.7710 Å, c = 7.7710 Å
α = 31.39°, β = 31.39°, γ = 31.39°
Fractional coordinates of all 4 atoms:
Li: 0.0000 0.0000 0.0000
Er: 0.1685 0.1685 0.1685
Te: 0.4157 0.4157 0.4157
Te: 0.5880 0.5880 0.5880

Summary:
The calculation puts the calculated density at 6310 kg/m3. The value obtained for the calculated total energy is -4.3838 eV/atom. The value obtained for the uncorrected formation energy is -1194 meV/atom.

---

# 21
## Tc2PdRu (PBE-GGA)

Data for a geometry-optimized Tc2PdRu structure.

a = 4.3777 Å, b = 4.3777 Å, c = 4.3777 Å
α = 60.00°, β = 60.00°, γ = 60.00°
Fractional coordinates of all 4 atoms:
Tc: 0.2500 0.2500 0.2500
Tc: 0.7500 0.7500 0.7500
Pd: 0.0000 0.0000 0.0000
Ru: 0.5000 0.5000 0.5000

Summary:
The calculation puts the calculated density at 11294 kg/m3. The value obtained for the calculated total energy is -8.3152 eV/atom. The polymorph energy (0 for the lowest one) comes out at 0.404 eV/atom.

---

# 22
## ZrNi2Te (PBE-GGA)

Data for a geometry-optimized ZrNi2Te structure.

a = 5.0899 Å, b = 5.0899 Å, c = 5.0899 Å
α = 48.12°, β = 48.12°, γ = 48.12°
Fractional coordinates of all 4 atoms:
Zr: 0.0000 0.0000 0.0000
Ni: 0.2196 0.2196 0.2196
Ni: 0.7804 0.7804 0.7804
Te: 0.5000 0.5000 0.5000

Summary:
The calculation puts the calculated density at 8335 kg/m3. The value obtained for the calculated total energy is -6.0494 eV/atom. The value obtained for the uncorrected formation energy is -236 meV/atom.

---

# 23
## MgZnCo (PBE-GGA)

Data for a geometry-optimized MgZnCo structure.

a = 4.1351 Å, b = 4.1351 Å, c = 4.1351 Å
α = 60.00°, β = 60.00°, γ = 60.00°
Fractional coordinates of all 3 atoms:
Mg: 0.0000 0.0000 0.0000
Zn: 0.5000 0.5000 0.5000
Co: 0.2500 0.2500 0.2500

Summary:
The calculation puts the calculated density at 4937 kg/m3. The value obtained for the calculated total energy is -3.0163 eV/atom.

---

# 24
## La2ReTc (PBE-GGA)

Data for a geometry-optimized La2ReTc structure.

a = 3.1524 Å, b = 4.7063 Å, c = 5.7511 Å
α = 90.00°, β = 95.85°, γ = 90.00°
Fractional coordinates of all 4 atoms:
La: 0.2427 0.0000 0.2516
La: 0.7573 0.0000 0.7484
Re: 0.5000 0.5000 0.0000
Tc: 0.0000 0.5000 0.5000

Summary:
The calculation puts the calculated density at 10995 kg/m3. The value obtained for the calculated total energy is -7.5563 eV/atom. The polymorph energy (0 for the lowest one) comes out at 0.463 eV/atom.

---

# 25
## LaTb2Cd (PBE-GGA)

Data for a geometry-optimized LaTb2Cd structure.

a = 3.6727 Å, b = 3.6727 Å, c = 9.0650 Å
α = 90.00°, β = 90.00°, γ = 90.00°
Fractional coordinates of all 4 atoms:
La: 0.0000 0.0000 0.0000
Tb: 0.5000 0.5000 0.2827
Tb: 0.5000 0.5000 0.7173
Cd: 0.0000 0.0000 0.5000

Summary:
The calculation puts the calculated density at 7729 kg/m3. The value obtained for the calculated total energy is -3.9184 eV/atom. The polymorph energy (0 for the lowest one) comes out at 0.007 eV/atom.

---

# 26
## BaSrLa2Fe (PBE-GGA)

Data for a geometry-optimized BaSrLa2Fe structure.

a = 6.0829 Å, b = 6.0829 Å, c = 5.1856 Å
α = 90.00°, β = 90.00°, γ = 90.00°
Fractional coordinates of all 5 atoms:
Ba: 0.0000 0.0000 0.0000
Sr: 0.5000 0.5000 0.5000
La: 0.0000 0.5000 0.0000
La: 0.5000 0.0000 0.0000
Fe: 0.0000 0.0000 0.5000

Summary:
The calculation puts the calculated density at 4834 kg/m3. The value obtained for the calculated total energy is -3.4133 eV/atom. The polymorph energy (0 for the lowest one) comes out at 0.803 eV/atom.